# 1
A plane-wave DFT calculation with GGA-PBE was carried out for GaBi3H after structural relaxation.

## Properties
The calculation puts the magnetization at 0.00 μB/f.u. The calculation puts the total energy at -16.4 eV/cell. As for the density of states at the Fermi level: 2.257 states/eV/cell.

Unit cell a=4.964 b=4.964 c=4.964 alpha=90.00 beta=90.00 gamma=90.00
Element x y z (fractional)
Ga 0.000 0.000 0.000
Bi 0.000 0.500 0.500
Bi 0.500 0.000 0.500
Bi 0.500 0.500 0.000
H 0.500 0.500 0.500

---

# 2
A plane-wave DFT calculation with GGA-PBE was carried out for SmTm2Th after structural relaxation.

## Properties
The calculation puts the magnetization at 0.00 μB/f.u. The calculation puts the total energy at -63.1 eV/cell. For the distance to the lowest polymorph of the same formula, the calculation gives 0 meV per atom. As for the formation energy from the elements: 5 kJ/mol of formula units. As for the density of states at the Fermi level: 18.827 states/eV/cell.

Unit cell a=3.574 b=3.574 c=34.228 alpha=90.00 beta=90.00 gamma=120.00
Element x y z (fractional)
Sm 0.000 0.000 0.000
Sm 0.333 0.667 0.667
Sm 0.667 0.333 0.333
Tm 0.000 0.000 0.581
Tm 0.000 0.000 0.751
Tm 0.333 0.667 0.248
Tm 0.333 0.667 0.418
Tm 0.667 0.333 0.085
Tm 0.667 0.333 0.914
Th 0.000 0.000 0.166
Th 0.333 0.667 0.832
Th 0.667 0.333 0.499

---

# 3
A plane-wave DFT calculation with GGA-PBE was carried out for In2Hg7Pb3 after structural relaxation.

## Properties
The calculation puts the magnetization at 0.00 μB/f.u. The calculation puts the total energy at -18.1 eV/cell. For the distance to the lowest polymorph of the same formula, the calculation gives 31 meV per atom. As for the formation energy from the elements: 62 kJ/mol of formula units. As for the density of states at the Fermi level: 4.924 states/eV/cell.

Unit cell a=4.703 b=4.776 c=15.699 alpha=90.00 beta=97.49 gamma=90.00
Element x y z (fractional)
In 0.124 0.000 0.279
In 0.876 0.000 0.721
Hg 0.087 0.500 0.158
Hg 0.303 0.000 0.587
Hg 0.426 0.000 0.846
Hg 0.500 0.500 0.000
Hg 0.574 0.000 0.154
Hg 0.697 0.000 0.413
Hg 0.913 0.500 0.842
Pb 0.000 0.000 0.000
Pb 0.213 0.500 0.425
Pb 0.787 0.500 0.575

---

# 4
A plane-wave DFT calculation with GGA-PBE was carried out for Sr2ZrCo after structural relaxation.

## Properties
The calculation puts the magnetization at 2.30 μB/f.u. The calculation puts the total energy at -47.8 eV/cell. For the distance to the lowest polymorph of the same formula, the calculation gives 605 meV per atom. As for the formation energy from the elements: 299 kJ/mol of formula units. As for the density of states at the Fermi level: 14.470 states/eV/cell.

Unit cell a=3.601 b=3.601 c=31.067 alpha=90.00 beta=90.00 gamma=120.00
Element x y z (fractional)
Sr 0.000 0.000 0.235
Sr 0.000 0.000 0.765
Sr 0.333 0.667 0.432
Sr 0.333 0.667 0.902
Sr 0.667 0.333 0.098
Sr 0.667 0.333 0.568
Zr 0.000 0.000 0.000
Zr 0.333 0.667 0.667
Zr 0.667 0.333 0.333
Co 0.000 0.000 0.500
Co 0.333 0.667 0.167
Co 0.667 0.333 0.833

---

# 5
A plane-wave DFT calculation with GGA-PBE was carried out for NpPd6Au3 after structural relaxation.

## Properties
The calculation puts the magnetization at 2.45 μB/f.u. The calculation puts the total energy at -54.9 eV/cell. For the distance to the lowest polymorph of the same formula, the calculation gives 77 meV per atom. As for the formation energy from the elements: -94 kJ/mol of formula units. As for the density of states at the Fermi level: 10.350 states/eV/cell.

Unit cell a=5.370 b=5.370 c=7.189 alpha=90.00 beta=90.00 gamma=120.00
Element x y z (fractional)
Np 0.000 0.000 0.000
Pd 0.000 0.420 0.816
Pd 0.000 0.580 0.184
Pd 0.420 0.000 0.816
Pd 0.420 0.420 0.184
Pd 0.580 0.000 0.184
Pd 0.580 0.580 0.816
Au 0.000 0.000 0.500
Au 0.333 0.667 0.500
Au 0.667 0.333 0.500

---

# 6
A plane-wave DFT calculation with GGA-PBE was carried out for SrGe2As2 after structural relaxation.

## Properties
The calculation puts the magnetization at 0.00 μB/f.u. The calculation puts the total energy at -42.9 eV/cell. As for the formation energy from the elements: -117 kJ/mol of formula units. As for the density of states at the Fermi level: 6.648 states/eV/cell.

Unit cell a=4.186 b=4.186 c=13.752 alpha=90.00 beta=90.00 gamma=90.00
Element x y z (fractional)
Sr 0.000 0.000 0.000
Sr 0.500 0.500 0.500
Ge 0.000 0.500 0.250
Ge 0.000 0.500 0.750
Ge 0.500 0.000 0.250
Ge 0.500 0.000 0.750
As 0.000 0.000 0.406
As 0.000 0.000 0.594
As 0.500 0.500 0.094
As 0.500 0.500 0.906

---

# 7
A plane-wave DFT calculation with GGA-PBE was carried out for BeOs2Br after structural relaxation.

## Properties
The calculation puts the magnetization at 0.00 μB/f.u. The calculation puts the total energy at -45.7 eV/cell. For the distance to the lowest polymorph of the same formula, the calculation gives 710 meV per atom. The calculation puts the uncorrected formation energy at 1.2537 eV per atom. As for the density of states at the Fermi level: 7.939 states/eV/cell.

Unit cell a=3.939 b=3.939 c=7.491 alpha=90.00 beta=90.00 gamma=90.00
Element x y z (fractional)
Be 0.000 0.000 0.000
Be 0.500 0.500 0.500
Os 0.000 0.000 0.500
Os 0.000 0.500 0.250
Os 0.500 0.000 0.750
Os 0.500 0.500 0.000
Br 0.000 0.500 0.750
Br 0.500 0.000 0.250

---

# 8
A plane-wave DFT calculation with GGA-PBE was carried out for Cs2PuPb2O6 after structural relaxation.

## Properties
The calculation puts the magnetization at 2.00 μB/f.u. The calculation puts the total energy at -72.8 eV/cell. The calculation puts the uncorrected formation energy at -1.7833 eV per atom. As for the density of states at the Fermi level: 4.923 states/eV/cell.

Unit cell a=6.290 b=6.290 c=7.290 alpha=98.79 beta=98.79 gamma=115.18
Element x y z (fractional)
Cs 0.184 0.816 0.000
Cs 0.816 0.184 0.000
Pu 0.000 0.000 0.500
Pb 0.325 0.675 0.500
Pb 0.675 0.325 0.500
O 0.038 0.346 0.660
O 0.163 0.163 0.320
O 0.346 0.038 0.660
O 0.654 0.962 0.340
O 0.837 0.837 0.680
O 0.962 0.654 0.340

---

# 9
A plane-wave DFT calculation with GGA-PBE was carried out for Ga3CoPd after structural relaxation.

## Properties
The calculation puts the magnetization at 0.00 μB/f.u. The calculation puts the total energy at -21.4 eV/cell. For the distance to the lowest polymorph of the same formula, the calculation gives 0 meV per atom. As for the formation energy from the elements: 2 kJ/mol of formula units. As for the density of states at the Fermi level: 3.270 states/eV/cell.

Unit cell a=4.470 b=4.470 c=4.470 alpha=90.00 beta=90.00 gamma=90.00
Element x y z (fractional)
Ga 0.000 0.000 0.500
Ga 0.000 0.500 0.000
Ga 0.500 0.000 0.000
Co 0.000 0.000 0.000
Pd 0.500 0.500 0.500

---

# 10
A plane-wave DFT calculation with GGA-PBE was carried out for LiEr4Ag5 after structural relaxation.

## Properties
The calculation puts the magnetization at 0.00 μB/f.u. The calculation puts the total energy at -37.4 eV/cell. As for the formation energy from the elements: -284 kJ/mol of formula units. As for the density of states at the Fermi level: 4.769 states/eV/cell.

Unit cell a=3.543 b=3.543 c=17.608 alpha=90.00 beta=90.00 gamma=90.00
Element x y z (fractional)
Li 0.000 0.000 0.000
Er 0.000 0.000 0.185
Er 0.000 0.000 0.395
Er 0.000 0.000 0.605
Er 0.000 0.000 0.815
Ag 0.500 0.500 0.082
Ag 0.500 0.500 0.291
Ag 0.500 0.500 0.500
Ag 0.500 0.500 0.709
Ag 0.500 0.500 0.918